No. 1
# CeHfSc | Alexandria via LeMat-Bulk | PBE-GGA | optimized geometry
data_CeHfSc
_chemical_formula_sum 'Ce2 Hf2 Sc2'
_symmetry_space_group_name_H-M 'I 4 m m'
_symmetry_Int_Tables_number 107
_symmetry_space_group_name_Hall 'I 4 -2'
_cell_length_a 3.176
_cell_length_b 3.176
_cell_length_c 14.763
_cell_angle_alpha 90.00
_cell_angle_beta 90.00
_cell_angle_gamma 90.00
loop_
_atom_site_label
_atom_site_fract_x
_atom_site_fract_y
_atom_site_fract_z
Ce1 0.000 0.000 0.000
Hf1 0.000 0.000 0.333
Sc1 0.000 0.000 0.682
# energy above the lowest structure with this stoichiometry: 25 meV per atom
# VASP energy: -7.317 eV/atom
# formation enthalpy at 0 K: 89.0 meV/atom
# magnetization: 0.09 μB/atom

=====

No. 2
# TePt | Alexandria via LeMat-Bulk | PBE-GGA | optimized geometry
data_TePt
_chemical_formula_sum 'Te6 Pt6'
_symmetry_space_group_name_H-M 'P 63/m'
_symmetry_Int_Tables_number 176
_symmetry_space_group_name_Hall '-P 6c'
_cell_length_a 9.5086
_cell_length_b 9.5086
_cell_length_c 4.4135
_cell_angle_alpha 90.00
_cell_angle_beta 90.00
_cell_angle_gamma 120.00
loop_
_atom_site_label
_atom_site_fract_x
_atom_site_fract_y
_atom_site_fract_z
Te1 0.0052 0.3495 0.2500
Pt1 0.1600 0.6696 0.2500
# formation energy without anion corrections: -0.181 eV per atom
# VASP energy: -4.772 eV/atom
# magnetization: 0.00 μB/atom

=====

No. 3
# CoHgSe | Alexandria via LeMat-Bulk | PBE-GGA | optimized geometry
data_CoHgSe
_chemical_formula_sum 'Co2 Hg2 Se2'
_symmetry_space_group_name_H-M 'P 4/n m m'
_symmetry_Int_Tables_number 129
_cell_length_a 3.694
_cell_length_b 3.694
_cell_length_c 10.380
_cell_angle_alpha 90.00
_cell_angle_beta 90.00
_cell_angle_gamma 90.00
loop_
_symmetry_equiv_pos_as_xyz
'x,y,z'
'-x,-y,-z'
'-y+1/2,x,z'
'y+1/2,-x,-z'
'-x+1/2,-y+1/2,z'
'x+1/2,y+1/2,-z'
'y,-x+1/2,z'
'-y,x+1/2,-z'
'x+1/2,-y,-z'
'-x+1/2,y,z'
'-y,-x,-z'
'y,x,z'
'-x,y+1/2,-z'
'x,-y+1/2,z'
'y+1/2,x+1/2,-z'
'-y+1/2,-x+1/2,z'
loop_
_atom_site_label
_atom_site_fract_x
_atom_site_fract_y
_atom_site_fract_z
Co1 0.250 0.750 0.000
Hg1 0.250 0.250 0.394
Se1 0.250 0.250 0.866
# formation energy without anion corrections: -0.171 eV per atom
# energy above the lowest structure with this stoichiometry: 0 meV per atom
# VASP energy: -3.802 eV/atom
# magnetization: 0.12 μB/atom

=====

No. 4
# Re2MoIr2 | Alexandria via LeMat-Bulk | PBE-GGA | optimized geometry
data_Re2MoIr2
_chemical_formula_sum 'Re4 Mo2 Ir4'
_symmetry_space_group_name_H-M 'P 4/m b m'
_symmetry_Int_Tables_number 127
_symmetry_space_group_name_Hall '-P 4 2ab'
_cell_length_a 7.567
_cell_length_b 7.567
_cell_length_c 2.728
_cell_angle_alpha 90.00
_cell_angle_beta 90.00
_cell_angle_gamma 90.00
loop_
_atom_site_label
_atom_site_fract_x
_atom_site_fract_y
_atom_site_fract_z
Re1 0.173 0.327 0.000
Mo1 0.000 0.000 0.500
Ir1 0.124 0.624 0.500
# energy above the lowest structure with this stoichiometry: 199 meV per atom
# VASP energy: -10.604 eV/atom
# formation enthalpy at 0 K: 86.0 meV/atom
# magnetization: 0.00 μB/atom

=====

No. 5
# Rb2LiPu3O12 | Alexandria via LeMat-Bulk | PBE-GGA | optimized geometry
data_Rb2LiPu3O12
_chemical_formula_sum 'Rb6 Li3 Pu9 O36'
_symmetry_space_group_name_H-M 'R -3 m'
_symmetry_Int_Tables_number 166
_symmetry_space_group_name_Hall '-R 3 2"'
_cell_length_a 7.8896
_cell_length_b 7.8896
_cell_length_c 17.5371
_cell_angle_alpha 90.00
_cell_angle_beta 90.00
_cell_angle_gamma 120.00
loop_
_atom_site_label
_atom_site_fract_x
_atom_site_fract_y
_atom_site_fract_z
Rb1 0.0000 0.0000 0.1248
Li1 0.0000 0.0000 0.5000
Pu1 0.0000 0.5000 0.0000
O1 0.0709 0.5355 0.1008
O2 0.0738 0.5369 0.3574
# formation energy without anion corrections: -2.264 eV per atom
# VASP energy: -8.172 eV/atom
# magnetization: 0.17 μB/atom

=====

No. 6
# Pm6MgCd2 | Alexandria via LeMat-Bulk | PBE-GGA | optimized geometry
data_Pm6MgCd2
_chemical_formula_sum 'Pm24 Mg4 Cd8'
_symmetry_space_group_name_H-M 'I m m m'
_symmetry_Int_Tables_number 71
_symmetry_space_group_name_Hall '-I 2 2'
_cell_length_a 10.154
_cell_length_b 10.469
_cell_length_c 10.665
_cell_angle_alpha 90.00
_cell_angle_beta 90.00
_cell_angle_gamma 90.00
loop_
_atom_site_label
_atom_site_fract_x
_atom_site_fract_y
_atom_site_fract_z
Pm1 0.000 0.177 0.232
Pm2 0.180 0.500 0.234
Pm3 0.200 0.246 0.500
Mg1 0.000 0.000 0.500
Mg2 0.000 0.500 0.500
Cd1 0.000 0.365 0.000
Cd2 0.142 0.000 0.000
# VASP energy: -3.630 eV/atom
# formation enthalpy at 0 K: -82.4 meV/atom
# magnetization: 0.00 μB/atom

=====

No. 7
# RbGa4S7 | Alexandria via LeMat-Bulk | PBE-GGA | optimized geometry
data_RbGa4S7
_chemical_formula_sum 'Rb2 Ga8 S14'
_symmetry_space_group_name_H-M 'P m n 21'
_symmetry_Int_Tables_number 31
_cell_length_a 15.165
_cell_length_b 6.436
_cell_length_c 6.096
_cell_angle_alpha 90.00
_cell_angle_beta 90.00
_cell_angle_gamma 90.00
loop_
_symmetry_equiv_pos_as_xyz
'x,y,z'
'-x+1/2,-y,z+1/2'
'-x,y,z'
'x+1/2,-y,z+1/2'
loop_
_atom_site_label
_atom_site_fract_x
_atom_site_fract_y
_atom_site_fract_z
Rb1 0.000 0.194 0.000
Ga1 0.122 0.668 0.596
Ga2 0.249 0.182 0.576
S1 0.000 0.837 0.463
S2 0.118 0.695 0.970
S3 0.120 0.332 0.480
S4 0.250 0.167 0.964
# formation energy without anion corrections: -0.712 eV per atom
# VASP energy: -4.209 eV/atom
# magnetization: 0.09 μB/atom

=====

No. 8
# TbTmAl | Alexandria via LeMat-Bulk | PBE-GGA | optimized geometry
data_TbTmAl
_chemical_formula_sum 'Tb1 Tm1 Al1'
_symmetry_space_group_name_H-M 'P 3 m 1'
_symmetry_Int_Tables_number 156
_cell_length_a 5.0433
_cell_length_b 5.0433
_cell_length_c 3.5390
_cell_angle_alpha 90.00
_cell_angle_beta 90.00
_cell_angle_gamma 120.00
loop_
_symmetry_equiv_pos_as_xyz
'x,y,z'
'-y,x-y,z'
'-x+y,-x,z'
'-y,-x,z'
'-x+y,y,z'
'x,x-y,z'
loop_
_atom_site_label
_atom_site_fract_x
_atom_site_fract_y
_atom_site_fract_z
Tb1 0.0000 0.0000 0.0000
Tm1 0.3333 0.6667 0.4414
Al1 0.6667 0.3333 0.6894
# energy above the lowest structure with this stoichiometry: 102 meV per atom
# VASP energy: -4.434 eV/atom
# formation enthalpy at 0 K: -152.5 meV/atom
# magnetization: 0.00 μB/atom

=====

Q: VASP energy of number 2 (TePt)?
A: -4.772 eV/atom

=====

Q: Which value of magnetization does entry 1 give?
A: 0.09 μB/atom

=====

Q: Look up the VASP energy of the third one.
A: -3.802 eV/atom

=====

What did the sixth record say?
# Pm6MgCd2 | Alexandria via LeMat-Bulk | PBE-GGA | optimized geometry
data_Pm6MgCd2
_chemical_formula_sum 'Pm24 Mg4 Cd8'
_symmetry_space_group_name_H-M 'I m m m'
_symmetry_Int_Tables_number 71
_symmetry_space_group_name_Hall '-I 2 2'
_cell_length_a 10.154
_cell_length_b 10.469
_cell_length_c 10.665
_cell_angle_alpha 90.00
_cell_angle_beta 90.00
_cell_angle_gamma 90.00
loop_
_atom_site_label
_atom_site_fract_x
_atom_site_fract_y
_atom_site_fract_z
Pm1 0.000 0.177 0.232
Pm2 0.180 0.500 0.234
Pm3 0.200 0.246 0.500
Mg1 0.000 0.000 0.500
Mg2 0.000 0.500 0.500
Cd1 0.000 0.365 0.000
Cd2 0.142 0.000 0.000
# VASP energy: -3.630 eV/atom
# formation enthalpy at 0 K: -82.4 meV/atom
# magnetization: 0.00 μB/atom